KZrVF7: optimized geometry, GGA+U. Values from VASP.

```
&SYSTEM
  ibrav = 0, nat = 40, ntyp = 4
/
ATOMIC_SPECIES
K 39.10 K.upf
F 19.00 F.upf
V 50.94 V.upf
Zr 91.22 Zr.upf
CELL_PARAMETERS angstrom
6.5852 0.0000 0.0000
0.0000 8.0532 0.0000
0.0000 0.0000 11.3430
ATOMIC_POSITIONS crystal
K 0.2357 0.5000 0.2500
F 0.0691 0.2101 0.7496
V 0.7500 0.7500 0.0978
F 0.2500 0.7500 0.0860
Zr 0.2500 0.2500 0.5931
F 0.1633 0.4956 0.6026
K 0.7357 0.0000 0.7500
F 0.9483 0.1914 0.5433
F 0.4309 0.7101 0.7504
F 0.7500 0.2500 0.9140
V 0.2500 0.2500 0.9022
F 0.0691 0.7899 0.7504
Zr 0.7500 0.7500 0.4069
F 0.4483 0.3086 0.0433
F 0.4309 0.2899 0.7496
F 0.9309 0.7899 0.2504
V 0.7500 0.2500 0.4022
F 0.0517 0.1914 0.0433
Zr 0.2500 0.7500 0.9069
F 0.5517 0.6914 0.9567
F 0.9483 0.8086 0.9567
F 0.9309 0.2101 0.2496
F 0.5517 0.3086 0.5433
Zr 0.7500 0.2500 0.0931
F 0.6633 0.0044 0.1026
F 0.6633 0.9956 0.3974
V 0.2500 0.7500 0.5978
F 0.4483 0.6914 0.4567
F 0.8367 0.4956 0.1026
F 0.0517 0.8086 0.4567
F 0.8367 0.5044 0.3974
F 0.5691 0.7101 0.2504
F 0.2500 0.2500 0.4140
F 0.3367 0.0044 0.6026
F 0.5691 0.2899 0.2496
F 0.1633 0.5044 0.8974
K 0.7643 0.5000 0.7500
F 0.7500 0.7500 0.5860
F 0.3367 0.9956 0.8974
K 0.2643 0.0000 0.2500
```

total energy: -251.37 eV per cell

KWF2: optimized geometry, GGA+U. Values from VASP.

```
&SYSTEM
  ibrav = 0, nat = 4, ntyp = 3
/
ATOMIC_SPECIES
W 183.84 W.upf
K 39.10 K.upf
F 19.00 F.upf
CELL_PARAMETERS angstrom
1.9572 0.0000 8.1244
-0.9786 1.6950 8.1244
-0.9786 -1.6950 8.1244
ATOMIC_POSITIONS crystal
W 0.5000 0.5000 0.5000
K 0.0000 0.0000 0.0000
F 0.8969 0.8969 0.8969
F 0.1031 0.1031 0.1031
```

total energy: -15.49 eV per cell

KW2F: optimized geometry, GGA+U. Values from VASP.

```
&SYSTEM
  ibrav = 0, nat = 8, ntyp = 3
/
ATOMIC_SPECIES
W 183.84 W.upf
K 39.10 K.upf
F 19.00 F.upf
CELL_PARAMETERS angstrom
7.1167 0.0000 0.0000
0.0000 7.1167 0.0000
3.5583 3.5583 5.4941
ATOMIC_POSITIONS crystal
W 0.8750 0.6250 0.7500
W 0.3750 0.6250 0.7500
K 0.7500 0.2500 0.5000
F 0.5000 0.5000 0.0000
W 0.3750 0.6250 0.2500
W 0.3750 0.1250 0.2500
F 0.2500 0.7500 0.5000
K 0.0000 0.0000 0.0000
```

total energy: -28.68 eV per cell

KWF2: optimized geometry, GGA+U. Values from VASP.

```
&SYSTEM
  ibrav = 0, nat = 4, ntyp = 3
/
ATOMIC_SPECIES
K 39.10 K.upf
F 19.00 F.upf
W 183.84 W.upf
CELL_PARAMETERS angstrom
1.7400 0.0000 7.7480
-0.8700 1.5069 7.7480
-0.8700 -1.5069 7.7480
ATOMIC_POSITIONS crystal
K 0.5000 0.5000 0.5000
F 0.9101 0.9101 0.9101
F 0.0899 0.0899 0.0899
W 0.0000 0.0000 0.0000
```

total energy: -17.15 eV per cell

K3WF8: optimized geometry, GGA+U. Values from VASP.

```
&SYSTEM
  ibrav = 0, nat = 12, ntyp = 3
/
ATOMIC_SPECIES
K 39.10 K.upf
F 19.00 F.upf
W 183.84 W.upf
CELL_PARAMETERS angstrom
5.8409 0.0000 0.0000
0.0000 5.8409 0.0000
0.0000 0.0000 5.8409
ATOMIC_POSITIONS crystal
K 0.5000 0.0000 0.5000
F 0.7950 0.2050 0.7950
F 0.2050 0.7950 0.2050
F 0.7950 0.7950 0.7950
F 0.2050 0.2050 0.2050
K 0.0000 0.5000 0.5000
F 0.7950 0.2050 0.2050
F 0.7950 0.7950 0.2050
W 0.0000 0.0000 0.0000
K 0.5000 0.5000 0.0000
F 0.2050 0.7950 0.7950
F 0.2050 0.2050 0.7950
```

total energy: -57.87 eV per cell

KWF2: optimized geometry, GGA+U. Values from VASP.

```
&SYSTEM
  ibrav = 0, nat = 4, ntyp = 3
/
ATOMIC_SPECIES
K 39.10 K.upf
F 19.00 F.upf
W 183.84 W.upf
CELL_PARAMETERS angstrom
-4.3495 -0.0171 1.5580
-1.8131 3.8350 1.8308
-3.2799 2.3211 -2.2805
ATOMIC_POSITIONS crystal
K 0.0000 0.0000 0.0000
F 0.7500 0.7500 0.7500
F 0.2500 0.2500 0.2500
W 0.5000 0.5000 0.5000
```

total energy: -15.23 eV per cell

K2WF2: optimized geometry, GGA+U. Values from VASP.

```
&SYSTEM
  ibrav = 0, nat = 5, ntyp = 3
/
ATOMIC_SPECIES
K 39.10 K.upf
W 183.84 W.upf
F 19.00 F.upf
CELL_PARAMETERS angstrom
-0.6727 2.8029 4.5653
-3.4154 -3.7691 1.8108
2.0049 -3.0950 5.3882
ATOMIC_POSITIONS crystal
K 0.7500 0.2500 0.5000
K 0.2500 0.7500 0.5000
W 0.0000 0.0000 0.0000
F 0.7943 0.7943 0.4114
F 0.2057 0.2057 0.5886
```

total energy: -19.97 eV per cell

KWF2: optimized geometry, GGA+U. Values from VASP.

```
&SYSTEM
  ibrav = 0, nat = 8, ntyp = 3
/
ATOMIC_SPECIES
F 19.00 F.upf
W 183.84 W.upf
K 39.10 K.upf
CELL_PARAMETERS angstrom
6.6485 0.0000 0.0000
0.0000 6.6485 0.0000
3.3242 3.3242 3.9028
ATOMIC_POSITIONS crystal
F 0.6599 0.1250 0.2500
W 0.0000 0.0000 0.0000
K 0.2500 0.7500 0.5000
K 0.5000 0.5000 0.0000
F 0.0901 0.6250 0.2500
W 0.7500 0.2500 0.5000
F 0.3750 0.3401 0.7500
F 0.8750 0.9099 0.7500
```

total energy: -34.04 eV per cell